Computed, not measured: a relaxed Tb7DyTl4 crystal at the GGA-PBE level of DFT.

- magnetization (μB/f.u.) = 0.0
- space group = C2/m, No. 12
- uncorrected energy (eV per cell) = -46.8
- DOS at the Fermi energy (states/eV/cell) = 13.81
- formation energy (eV/atom) = -0.024

abc: 5.8010 9.1669 8.0238
angles: 69.44 68.81 71.55
Positions (direct):
Tb 0.7961 0.8793 0.5285
Tb 0.2039 0.1207 0.4715
Tb 0.0674 0.5945 0.2707
Tb 0.9326 0.4055 0.7293
Tb 0.2591 0.6923 0.7895
Tb 0.5000 0.0000 0.0000
Tb 0.7409 0.3077 0.2105
Dy 0.0000 0.0000 0.0000
Tl 0.5477 0.2868 0.6177
Tl 0.4523 0.7132 0.3823
Tl 0.6854 0.6631 0.9660
Tl 0.3146 0.3369 0.0340